[1]
Compound: NaTa2O5
Source: Alexandria
Functional: PBE
Structure: optimized geometry

a = 6.205 Å, b = 6.205 Å, c = 6.205 Å
α = 150.54°, β = 128.76°, γ = 60.21°
Element x y z (fractional)
1 Na 0.000 0.000 0.000
2 Ta 0.319 0.819 0.500
3 Ta 0.681 0.181 0.500
4 O 0.080 0.339 0.740
5 O 0.401 0.661 0.740
6 O 0.500 0.000 0.500
7 O 0.599 0.339 0.260
8 O 0.920 0.661 0.260

Output
SG	No. 71
energy above the most stable polymorph in this dataset	0.65	eV/f.u.
formation energy without anion corrections	-19.86	eV per formula unit

---

[2]
Compound: PmCuHgBi
Source: Alexandria
Functional: PBE
Structure: optimized geometry

a = 5.184 Å, b = 5.184 Å, c = 5.184 Å
α = 60.00°, β = 60.00°, γ = 60.00°
Element x y z (fractional)
1 Pm 0.000 0.000 0.000
2 Cu 0.250 0.250 0.250
3 Hg 0.750 0.750 0.750
4 Bi 0.500 0.500 0.500

Output
SG	No. 216
formation energy from the elements	-192.2	meV per atom

---

no.,uncorrected energy (eV per atom)
1,-8.709
2,-3.450